Version a
Computed, not measured: a relaxed Cd6HgAu3 crystal at the PBE level of DFT.

```
Cd6HgAu3
1.0
-5.382 2.079 -4.086
-5.188 -1.540 6.051
1.469 7.730 1.997
Cd Au Hg
12 6 2
Cartesian
-8.493 0.211 3.177
-4.465 3.926 -0.199
0.322 7.699 1.491
-5.684 5.954 2.438
-3.002 7.042 3.924
-2.453 1.942 2.257
-6.588 1.415 -0.332
-1.229 4.091 0.087
-8.361 4.367 3.505
-3.419 6.879 0.393
-4.305 0.859 4.614
-3.671 3.970 4.894
-7.092 4.027 0.890
-7.615 7.943 2.380
-6.130 5.225 5.158
-3.701 1.181 -0.100
-5.186 3.900 -2.877
-3.176 4.693 2.187
-6.113 2.135 2.797
-0.495 5.171 3.058
```

Results
The value obtained for the magnetic moment is 0.0 μB/cell.

Version b
Computed, not measured: a relaxed Cd6HgAu3 crystal at the PBE level of DFT.

```
Cd6HgAu3
1.0
-2.431 -3.582 -0.059
6.548 -4.371 -4.503
0.179 -0.334 13.020
Au Cd Hg
6 12 2
Cartesian
-1.282 -3.251 12.046
1.903 -5.213 -0.199
-0.680 -3.541 4.839
5.579 -5.036 -3.588
2.393 -3.074 8.657
4.977 -4.745 3.619
0.463 -1.734 6.837
3.017 -6.114 8.665
3.833 -6.552 1.621
1.869 -2.644 4.113
3.271 -3.555 1.663
3.600 -3.719 -1.964
0.697 -4.567 10.422
4.161 -6.722 -1.574
0.136 -1.564 10.032
1.279 -2.173 -0.207
2.427 -5.643 4.346
1.025 -4.731 6.795
-0.014 -3.947 1.954
4.310 -4.340 6.505
```

Results
The value obtained for the magnetic moment is 0.0 μB/cell.

In meV/atom, relative to the most stable structure: version a 15; version b 0.

Version a
Computed, not measured: a relaxed CdHg2Au8 crystal at the PBE level of DFT.

```
CdHg2Au8
1.0
3.975 0.000 -1.143
-0.632 6.383 -2.198
0.125 0.759 7.920
Au Hg Cd
8 2 1
Cartesian
-0.269 4.708 -0.934
2.077 2.994 -0.261
3.016 5.785 3.005
1.301 1.021 4.527
3.737 2.434 5.513
1.391 4.148 4.840
0.452 1.357 1.573
2.167 6.121 0.052
0.540 4.446 1.879
2.928 2.696 2.700
1.988 0.000 -0.571
```

Results
The value obtained for the magnetic moment is 0.0 μB/cell.

Version b
Computed, not measured: a relaxed CdHg2Au8 crystal at the PBE level of DFT.

```
CdHg2Au8
1.0
0.358 -2.358 -4.813
6.474 1.721 -2.667
3.625 -6.155 0.980
Au Hg Cd
8 2 1
Cartesian
4.733 -2.702 -2.139
7.351 -3.286 -6.698
4.437 0.172 -1.506
3.106 -3.506 0.197
6.020 -6.964 -4.995
7.445 -3.720 -2.218
5.724 -4.090 -4.362
3.012 -3.072 -4.282
8.656 -5.157 -4.375
1.801 -1.635 -2.125
0.000 0.000 0.000
```

Results
The value obtained for the magnetic moment is 0.0 μB/cell.

In meV/atom, relative to the most stable structure: version a 0; version b 93.

Version a
Computed, not measured: a relaxed Cd8HgAu2 crystal at the PBE level of DFT.

```
Cd8HgAu2
1.0
-2.017 -4.057 0.681
-1.857 -0.335 -7.497
7.825 -0.952 2.093
Au Cd Hg
2 8 1
Cartesian
1.267 -1.342 -4.239
2.684 -4.003 -0.484
2.064 -4.335 -4.301
1.887 -1.009 -0.422
-0.509 -3.258 -5.503
4.460 -2.086 0.780
0.325 -3.108 -2.138
-1.295 -0.234 -5.230
3.626 -2.237 -2.586
5.246 -5.110 0.507
-1.008 -2.029 0.341
```

Results
The value obtained for the magnetic moment is 0.0 μB/cell.

Version b
Computed, not measured: a relaxed Cd8HgAu2 crystal at the PBE level of DFT.

```
Cd8HgAu2
1.0
-3.699 -3.737 1.001
5.778 -4.028 2.240
-2.505 4.894 4.940
Au Cd Hg
2 8 1
Cartesian
3.193 -1.243 3.083
0.080 2.110 4.097
1.107 -1.416 1.198
1.827 -3.632 3.426
-2.252 0.761 4.755
0.446 -3.585 6.338
-1.350 -2.300 3.459
0.924 -0.571 4.723
-1.532 -1.454 6.983
-0.872 0.715 1.843
-1.849 -1.868 0.500
```

Results
The value obtained for the magnetic moment is 0.0 μB/cell.

In meV/atom, relative to the most stable structure: version a 0; version b 18.

Version a
Computed, not measured: a relaxed CdHgAu crystal at the PBE level of DFT.

```
CdHgAu
1.0
4.971 -0.812 -0.474
1.908 2.994 0.689
-1.128 2.262 9.019
Hg Au Cd
2 2 2
Cartesian
3.256 1.131 3.604
2.495 3.312 5.629
2.658 2.244 8.270
3.092 2.199 0.964
5.255 3.061 7.161
0.496 1.382 2.073
```

Results
The value obtained for the magnetic moment is 0.0 μB/cell.

Version b
Computed, not measured: a relaxed CdHgAu crystal at the PBE level of DFT.

```
CdHgAu
1.0
3.449 0.000 0.000
0.000 3.449 0.000
-1.725 -1.725 11.383
Cd Hg Au
2 2 2
Cartesian
0.000 0.000 4.723
1.725 1.725 6.661
0.000 0.000 1.390
1.725 1.725 9.994
1.725 1.725 3.167
0.000 0.000 8.216
```

Results
The value obtained for the magnetic moment is 0.0 μB/cell.

In meV/atom, relative to the most stable structure: version a 0; version b 48.

Version a
Computed, not measured: a relaxed CdHgAu crystal at the PBE level of DFT.

```
CdHgAu
1.0
3.551 0.000 0.528
1.752 4.724 0.422
0.597 0.304 8.166
Hg Cd Au
2 2 2
Cartesian
2.876 4.447 1.409
1.920 2.747 7.837
2.159 0.279 6.224
2.648 1.753 2.949
4.081 2.347 5.507
2.461 4.393 4.198
```

Results
The value obtained for the magnetic moment is 0.0 μB/cell.

Version b
Computed, not measured: a relaxed CdHgAu crystal at the PBE level of DFT.

```
CdHgAu
1.0
-3.055 -2.338 2.700
1.536 -3.307 2.965
-0.106 0.768 4.635
Hg Au Cd
1 1 1
Cartesian
-0.812 -2.438 5.150
-1.218 -3.657 7.726
0.000 0.000 0.000
```

Results
The value obtained for the magnetic moment is 0.0 μB/cell.

In meV/atom, relative to the most stable structure: version a 19; version b 0.

Version a
Computed, not measured: a relaxed CdHgAu crystal at the PBE level of DFT.

```
CdHgAu
1.0
5.254 0.111 0.000
2.520 4.612 0.000
-3.887 -2.362 2.633
Au Hg Cd
1 1 1
Cartesian
7.742 4.703 0.000
5.177 3.145 0.000
2.631 1.598 0.000
```

Results
The value obtained for the magnetic moment is 0.0 μB/cell.

Version b
Computed, not measured: a relaxed CdHgAu crystal at the PBE level of DFT.

```
CdHgAu
1.0
-4.635 1.434 -0.202
1.333 -4.199 -2.043
-0.576 -1.485 2.676
Hg Cd Au
1 1 1
Cartesian
-3.127 -1.683 1.420
-0.849 -2.820 -0.531
-0.478 -1.231 2.219
```

Results
The value obtained for the magnetic moment is 0.0 μB/cell.

In meV/atom, relative to the most stable structure: version a 0; version b 54.